Compound: CsAgIO2
Source: Alexandria via LeMat-Bulk
Functional: GGA-PBE
Structure: relaxed

POSCAR file:
```
CsAgIO2
1.0
-0.4446 1.9253 4.4475
-0.4608 -4.4627 1.8859
5.4913 -0.2832 0.6716
Cs I O Ag
1 1 2 1
Direct
0.5000 0.5000 0.5000
0.0000 0.0000 0.5000
0.0000 0.5000 0.0000
0.5000 0.0000 0.0000
0.0000 0.0000 0.0000
```

Properties
Space group   No. 123
Uncorrected formation energy   66 meV per atom
DOS(E_F)   1.571 states/eV per atom
Final energy   -2.968 eV per atom
Calculated density   5.06 g/cm3
ΔE to the lowest computed polymorph   0.000 kcal/mol of atoms
Total magnetic moment   2.2 μB per formula unit


Compound: Zr3Cu2Au3
Source: Alexandria via LeMat-Bulk
Functional: GGA-PBE
Structure: relaxed

POSCAR file:
```
Zr3Cu2Au3
1.0
-3.1765 1.2310 0.7345
-1.8246 -6.2457 2.5762
2.8404 4.8234 4.2002
Zr Cu Au
3 2 3
Direct
0.5000 0.4041 0.4041
0.5000 0.5959 0.0000
0.5000 0.0000 0.5959
0.0000 0.3333 0.6667
0.0000 0.6667 0.3333
0.0000 0.7521 0.7521
0.0000 0.2479 0.0000
0.0000 0.0000 0.2479
```

Properties
Space group   No. 189
DOS(E_F)   0.983 states/eV per atom
Final energy   -5.828 eV per atom
Calculated density   11.14 g/cm3
Total magnetic moment   0.0 μB per formula unit
Formation enthalpy at 0 K   -285 kJ/mol of formula units


Compound: ScBi2Se4
Source: Alexandria via LeMat-Bulk
Functional: GGA-PBE
Structure: relaxed

POSCAR file:
```
ScBi2Se4
1.0
3.7743 0.0000 0.0000
-1.8872 7.4698 0.0000
0.0000 0.0000 13.5642
Sc Bi Se
2 4 8
Direct
0.6149 0.2298 0.7500
0.3851 0.7702 0.2500
0.1324 0.2647 0.4260
0.8676 0.7353 0.9260
0.1324 0.2647 0.0740
0.8676 0.7353 0.5740
0.8006 0.6012 0.1271
0.8006 0.6012 0.3729
0.1994 0.3988 0.8729
0.1994 0.3988 0.6271
0.9840 0.9680 0.7500
0.0160 0.0320 0.2500
0.5000 0.0000 0.0000
0.5000 0.0000 0.5000
```

Properties
Space group   No. 63
Uncorrected formation energy   -685 meV per atom
DOS(E_F)   0.244 states/eV per atom
Final energy   -4.689 eV per atom
Calculated density   6.76 g/cm3
Total magnetic moment   0.0 μB per formula unit


Compound: Ca4Al2Ag
Source: Alexandria via LeMat-Bulk
Functional: GGA-PBE
Structure: relaxed

POSCAR file:
```
Ca4Al2Ag
1.0
-4.4439 0.1432 3.6417
-3.3338 -2.4800 -3.9706
-1.9986 -7.8216 2.4039
Ca Al Ag
4 2 1
Direct
0.7987 0.7987 0.4025
0.2013 0.2013 0.5975
0.0000 0.5000 0.0000
0.5000 0.0000 0.0000
0.5918 0.5918 0.8165
0.4082 0.4082 0.1835
0.0000 0.0000 0.0000
```

Properties
Space group   No. 139
DOS(E_F)   0.494 states/eV per atom
Final energy   -2.578 eV per atom
Calculated density   2.20 g/cm3
Total magnetic moment   0.0 μB per formula unit
Formation enthalpy at 0 K   28 kJ/mol of formula units


Compound: Sm4DyEr2Sc
Source: Alexandria via LeMat-Bulk
Functional: GGA-PBE
Structure: relaxed

POSCAR file:
```
Sm4DyEr2Sc
1.0
5.0431 0.0000 0.0000
0.0000 4.9585 0.8579
0.0000 3.2736 10.5950
Sm Dy Er Sc
4 1 2 1
Direct
0.0000 0.7555 0.7448
0.0000 0.2445 0.2552
0.5000 0.7447 0.2550
0.5000 0.2553 0.7450
0.5000 0.5000 0.0000
0.0000 0.0000 0.0000
0.5000 0.0000 0.5000
0.0000 0.5000 0.5000
```

Properties
Space group   No. 47
DOS(E_F)   1.424 states/eV per atom
Final energy   -4.837 eV per atom
Calculated density   7.57 g/cm3
Total magnetic moment   0.0 μB per formula unit
Formation enthalpy at 0 K   23 kJ/mol of formula units


Compound: NaZn4Pt5
Source: Alexandria via LeMat-Bulk
Functional: GGA-PBE
Structure: relaxed

POSCAR file:
```
NaZn4Pt5
1.0
-1.1499 1.7771 1.9504
-0.4920 -2.2347 1.7460
16.6956 2.3450 7.7061
Na Zn Pt
1 4 5
Direct
0.0000 0.0000 0.0000
0.0000 0.0000 0.2148
0.0000 0.0000 0.4053
0.0000 0.0000 0.5947
0.0000 0.0000 0.7852
0.5000 0.5000 0.1237
0.5000 0.5000 0.3111
0.5000 0.5000 0.5000
0.5000 0.5000 0.6889
0.5000 0.5000 0.8763
```

Properties
Space group   No. 123
DOS(E_F)   0.318 states/eV per atom
Final energy   -4.145 eV per atom
Calculated density   13.62 g/cm3
Total magnetic moment   0.0 μB per formula unit
Formation enthalpy at 0 K   -466 kJ/mol of formula units


Look up the total magnetic moment of the fourth one.
0.0 μB per formula unit